# 1
This record from Alexandria via LeMat-Bulk describes crystalline Ge2AsPt2 at its relaxed geometry. The functional is PBE-GGA.

Computed properties:
* DFT formation energy: -0.110 eV/atom
* electronic total energy: -5.303 eV/atom
* relative energy among the computed polymorphs: 0 meV per atom
* spin magnetization: 0.0 Bohr magnetons per cell

The structure in extended XYZ format:
```
10
Lattice="7.548 0.000 0.000 0.000 7.548 0.000 0.000 0.000 3.041" Properties=species:S:1:pos:R:3 pbc="T T T"
Ge 1.161 2.613 0.000
Ge 2.613 6.387 0.000
Ge 4.935 1.161 0.000
Ge 6.387 4.935 0.000
As 0.000 0.000 1.521
As 3.774 3.774 1.521
Pt 1.066 4.840 1.521
Pt 2.708 1.066 1.521
Pt 4.840 6.482 1.521
Pt 6.482 2.708 1.521
```

# 2
This record from Alexandria via LeMat-Bulk describes crystalline Ge3AsPt at its relaxed geometry. The functional is PBE-GGA.

Computed properties:
* DFT formation energy: 0.935 eV/atom
* electronic total energy: -3.974 eV/atom
* relative energy among the computed polymorphs: 595 meV per atom
* spin magnetization: 0.0 Bohr magnetons per cell

The structure in extended XYZ format:
```
5
Lattice="4.815 0.000 0.000 0.000 4.815 0.000 0.000 0.000 4.815" Properties=species:S:1:pos:R:3 pbc="T T T"
Ge 0.000 0.000 2.407
Ge 0.000 2.407 0.000
Ge 2.407 0.000 0.000
As 0.000 0.000 0.000
Pt 2.407 2.407 2.407
```

# 3
This record from Alexandria via LeMat-Bulk describes crystalline Ge4As2Pt at its relaxed geometry. The functional is PBE-GGA.

Computed properties:
* DFT formation energy: -0.075 eV/atom
* electronic total energy: -4.905 eV/atom
* spin magnetization: 0.0 Bohr magnetons per cell

The structure in extended XYZ format:
```
7
Lattice="3.776 0.000 0.000 -1.237 5.896 0.000 -0.104 -2.314 6.715" Properties=species:S:1:pos:R:3 pbc="T T T"
Ge -0.112 0.581 2.975
Ge 0.412 4.013 1.004
Ge 2.023 -0.431 5.711
Ge 2.547 3.002 3.740
As 0.232 1.488 0.591
As 2.202 2.095 6.123
Pt 1.836 -1.157 3.357
```

# 4
This record from Alexandria via LeMat-Bulk describes crystalline Pu2GeAs3Pt4 at its relaxed geometry. The functional is PBE-GGA.

Computed properties:
* DFT formation energy: -0.644 eV/atom
* electronic total energy: -7.783 eV/atom
* spin magnetization: 10.6 Bohr magnetons per cell

The structure in extended XYZ format:
```
10
Lattice="4.364 0.000 0.000 0.000 4.364 0.000 0.000 0.000 10.190" Properties=species:S:1:pos:R:3 pbc="T T T"
Pu 0.000 2.182 2.509
Pu 2.182 0.000 7.681
Ge 0.000 0.000 5.095
As 0.000 2.182 8.809
As 2.182 0.000 1.381
As 2.182 2.182 5.095
Pt 0.000 0.000 0.000
Pt 0.000 2.182 6.368
Pt 2.182 0.000 3.822
Pt 2.182 2.182 0.000
```

# 5
This record from Alexandria via LeMat-Bulk describes crystalline GeSbAsPt2 at its relaxed geometry. The functional is PBE-GGA.

Computed properties:
* electronic total energy: -4.566 eV/atom
* formation energy (no corrections): 255 kJ/mol of formula units
* spin magnetization: 0.0 Bohr magnetons per cell

The structure in extended XYZ format:
```
5
Lattice="4.718 0.000 0.000 0.000 4.718 0.000 0.000 0.000 4.991" Properties=species:S:1:pos:R:3 pbc="T T T"
Ge 0.000 0.000 0.000
Sb 2.359 2.359 2.495
As 0.000 0.000 2.495
Pt 0.000 2.359 0.000
Pt 2.359 0.000 0.000
```

# 6
This record from Alexandria via LeMat-Bulk describes crystalline GeAsPtSe2 at its relaxed geometry. The functional is PBE-GGA.

Computed properties:
* electronic total energy: -3.490 eV/atom
* formation energy (no corrections): 466 kJ/mol of formula units
* relative energy among the computed polymorphs: 483 meV per atom
* spin magnetization: 0.0 Bohr magnetons per cell

The structure in extended XYZ format:
```
5
Lattice="4.855 0.000 0.000 0.000 4.855 0.000 0.000 0.000 4.915" Properties=species:S:1:pos:R:3 pbc="T T T"
Ge 0.000 0.000 0.000
As 0.000 0.000 2.457
Pt 2.427 2.427 2.457
Se 0.000 2.427 0.000
Se 2.427 0.000 0.000
```

# 7
This record from Alexandria via LeMat-Bulk describes crystalline GeAsPtSe2 at its relaxed geometry. The functional is PBE-GGA.

Computed properties:
* electronic total energy: -3.973 eV/atom
* formation energy (no corrections): 233 kJ/mol of formula units
* relative energy among the computed polymorphs: 0 meV per atom
* spin magnetization: 0.0 Bohr magnetons per cell

The structure in extended XYZ format:
```
5
Lattice="5.213 0.000 0.000 0.000 5.213 0.000 0.000 0.000 4.609" Properties=species:S:1:pos:R:3 pbc="T T T"
Ge 0.000 0.000 0.000
As 2.607 2.607 0.000
Pt 2.607 2.607 2.305
Se 0.000 2.607 2.305
Se 2.607 0.000 2.305
```

# 8
This record from Alexandria via LeMat-Bulk describes crystalline Sm2GeAsPt6 at its relaxed geometry. The functional is PBE-GGA.

Computed properties:
* DFT formation energy: -0.767 eV/atom
* electronic total energy: -6.262 eV/atom
* spin magnetization: 0.0 Bohr magnetons per cell

The structure in extended XYZ format:
```
10
Lattice="5.664 0.000 0.000 -2.828 4.911 0.000 -2.814 -1.630 7.649" Properties=species:S:1:pos:R:3 pbc="T T T"
Sm -1.407 0.824 2.974
Sm 1.430 2.458 4.675
Ge 1.425 -0.815 3.824
As 1.418 2.456 0.000
Pt -2.813 0.003 5.735
Pt 2.836 3.278 1.914
Pt 0.012 0.003 5.737
Pt -1.399 2.455 5.733
Pt 1.422 0.827 1.915
Pt 0.011 3.278 1.912
```

# 9
This record from Alexandria via LeMat-Bulk describes crystalline Sr2GeAsPt6 at its relaxed geometry. The functional is PBE-GGA.

Computed properties:
* DFT formation energy: -0.666 eV/atom
* electronic total energy: -5.554 eV/atom
* spin magnetization: 0.0 Bohr magnetons per cell

The structure in extended XYZ format:
```
10
Lattice="6.170 -2.829 0.000 6.170 2.829 0.000 -5.483 0.000 6.173" Properties=species:S:1:pos:R:3 pbc="T T T"
Sr 1.936 0.000 1.238
Sr 4.922 0.000 4.935
Ge 6.170 0.000 0.000
As -2.741 0.000 3.087
Pt 1.913 1.396 4.468
Pt -0.356 0.000 3.890
Pt 4.945 1.396 1.706
Pt 1.913 -1.396 4.468
Pt 7.214 0.000 2.283
Pt 4.945 -1.396 1.706
```

# 10
This record from Alexandria via LeMat-Bulk describes crystalline Th2Ge3AsPt4 at its relaxed geometry. The functional is PBE-GGA.

Computed properties:
* DFT formation energy: -0.912 eV/atom
* electronic total energy: -6.662 eV/atom
* spin magnetization: 0.0 Bohr magnetons per cell

The structure in extended XYZ format:
```
10
Lattice="4.450 0.000 0.000 0.000 4.450 0.000 0.000 0.000 9.870" Properties=species:S:1:pos:R:3 pbc="T T T"
Th 0.000 2.225 2.428
Th 2.225 0.000 7.442
Ge 0.000 2.225 8.588
Ge 2.225 0.000 1.282
Ge 2.225 2.225 4.935
As 0.000 0.000 4.935
Pt 0.000 0.000 0.000
Pt 0.000 2.225 6.135
Pt 2.225 0.000 3.735
Pt 2.225 2.225 0.000
```

# 11
This record from Alexandria via LeMat-Bulk describes crystalline Th4GeAs2Pt at its relaxed geometry. The functional is PBE-GGA.

Computed properties:
* DFT formation energy: -1.137 eV/atom
* electronic total energy: -7.342 eV/atom
* spin magnetization: 0.0 Bohr magnetons per cell

The structure in extended XYZ format:
```
8
Lattice="7.420 0.000 0.000 0.000 4.200 0.000 -2.453 0.000 7.030" Properties=species:S:1:pos:R:3 pbc="T T T"
Th 1.210 0.000 1.696
Th 0.015 2.100 5.283
Th 4.952 2.100 1.747
Th 3.758 0.000 5.334
Ge 3.710 0.000 0.000
As -1.226 0.000 3.515
As 2.484 2.100 3.515
Pt 0.000 2.100 0.000
```

# 12
This record from Alexandria via LeMat-Bulk describes crystalline TlGeAsPt at its relaxed geometry. The functional is PBE-GGA.

Computed properties:
* DFT formation energy: -0.080 eV/atom
* electronic total energy: -4.498 eV/atom
* relative energy among the computed polymorphs: 109 meV per atom
* spin magnetization: 0.0 Bohr magnetons per cell

The structure in extended XYZ format:
```
4
Lattice="5.677 -2.027 0.000 5.677 2.027 0.000 -0.175 0.000 4.839" Properties=species:S:1:pos:R:3 pbc="T T T"
Tl 0.000 0.000 0.000
Ge 2.825 0.000 0.442
As 3.907 0.000 3.140
Pt 9.102 0.000 1.729
```